DFT (PBE-GGA) results for a relaxed Rb2Te2Se crystal.

Geometry as POSCAR:
```
Rb2Te2Se
1.0
-1.6746 -5.9893 5.4667
7.2701 -3.5814 -1.6968
2.3975 2.9748 3.9936
Te Se Rb
4 2 4
Direct
0.3787 0.8787 0.0000 Te
0.8787 0.6213 0.0000 Te
0.6213 0.1213 0.0000 Te
0.1213 0.3787 0.0000 Te
0.0000 0.0000 0.0000 Se
0.5000 0.5000 0.0000 Se
0.1822 0.6822 0.5000 Rb
0.6822 0.8178 0.5000 Rb
0.8178 0.3178 0.5000 Rb
0.3178 0.1822 0.5000 Rb
```

Values from the calculation:
The calculation puts the density of states at the Fermi level at 0.00 states/eV per cell. As for the electronic total energy: -2.933 eV per atom. The calculation puts the distance to the lowest polymorph of the same formula at 0.0 meV/atom. As for the space group: No. 127. The formation energy (no corrections) comes out at -0.593 eV per atom.

***

DFT (PBE-GGA) results for a relaxed Nd4BiSb2P crystal.

Geometry as POSCAR:
```
Nd4BiSb2P
1.0
4.4462 0.0000 0.0000
0.0000 7.7162 -0.1579
0.0000 2.7110 7.2606
Nd Bi Sb P
4 1 2 1
Direct
0.0000 0.7450 0.7379 Nd
0.0000 0.2550 0.2621 Nd
0.5000 0.7363 0.2671 Nd
0.5000 0.2637 0.7329 Nd
0.5000 0.5000 0.0000 Bi
0.0000 0.0000 0.0000 Sb
0.5000 0.0000 0.5000 Sb
0.0000 0.5000 0.5000 P
```

Values from the calculation:
The calculation puts the density of states at the Fermi level at 1.09 states/eV per cell. As for the electronic total energy: -5.744 eV per atom. As for the space group: No. 10. The formation energy (no corrections) comes out at -1.168 eV per atom.